# 1
The following is a DFT calculation (PBE) of a relaxed structure of SmPb2F8. Values from VASP.

```
&SYSTEM
  ibrav = 0, nat = 11, ntyp = 3
/
ATOMIC_SPECIES
Pb 207.20 Pb.upf
F 19.00 F.upf
Sm 150.36 Sm.upf
ATOMIC_POSITIONS crystal
Pb 0.155 0.549 0.310
F 0.023 0.242 0.046
F 0.255 0.311 0.510
F 0.592 0.742 0.184
F 0.408 0.258 0.816
F 0.626 0.269 0.251
Pb 0.845 0.451 0.690
F 0.745 0.689 0.490
F 0.374 0.731 0.749
F 0.977 0.758 0.954
Sm 0.500 0.000 0.000
CELL_PARAMETERS angstrom
-0.588 -1.359 -3.588
4.560 -2.979 0.382
-5.701 -4.858 4.874
```

Total magnetic moment (μB/atom): 0.000
Volume (A^3/atom): 16.46
Energy relative to the lowest polymorph listed for this composition (meV/atom): 5
Calculated total energy (eV/atom): -5.288
Space-group type: C2/m, No. 12
Energy relative to the elements, uncorrected (eV per formula unit): -31.07
Density (kg/m3): 6574

=====

# 2
The following is a DFT calculation (PBE) of a relaxed structure of SmPb2F8. Values from VASP.

```
&SYSTEM
  ibrav = 0, nat = 11, ntyp = 3
/
ATOMIC_SPECIES
F 19.00 F.upf
Pb 207.20 Pb.upf
Sm 150.36 Sm.upf
ATOMIC_POSITIONS crystal
F 0.406 0.578 0.813
F 0.342 0.044 0.683
F 0.027 0.811 0.055
Pb 0.823 0.322 0.647
Sm 0.500 0.000 0.000
F 0.658 0.956 0.317
F 0.594 0.422 0.187
F 0.217 0.310 0.434
Pb 0.177 0.678 0.353
F 0.973 0.189 0.945
F 0.783 0.690 0.566
CELL_PARAMETERS angstrom
3.998 0.000 0.000
0.000 5.714 0.004
-1.999 -2.445 6.895
```

Total magnetic moment (μB/atom): 0.000
Volume (A^3/atom): 14.32
Energy relative to the lowest polymorph listed for this composition (meV/atom): 0
Calculated total energy (eV/atom): -5.293
Space-group type: C2/m, No. 12
Energy relative to the elements, uncorrected (eV per formula unit): -31.12
Density (kg/m3): 7555

=====

# 3
The following is a DFT calculation (PBE) of a relaxed structure of SmPbF4. Values from VASP.

```
&SYSTEM
  ibrav = 0, nat = 12, ntyp = 3
/
ATOMIC_SPECIES
F 19.00 F.upf
Pb 207.20 Pb.upf
Sm 150.36 Sm.upf
ATOMIC_POSITIONS crystal
F 0.696 0.990 0.293
F 0.301 0.987 0.685
Pb 0.002 0.502 0.500
F 0.301 0.616 0.315
Sm 0.502 0.002 0.500
F 0.366 0.551 0.815
Sm 0.752 0.752 0.000
F 0.740 0.946 0.793
F 0.696 0.403 0.707
F 0.153 0.946 0.207
F 0.737 0.551 0.185
Pb 0.252 0.252 0.000
CELL_PARAMETERS angstrom
-1.673 -4.495 4.971
6.712 -1.196 -1.108
-1.238 6.541 1.842
```

Total magnetic moment (μB/atom): 0.167
Volume (A^3/atom): 20.99
Calculated total energy (eV/atom): -5.689
Space-group type: I4_1md, No. 109
Energy relative to the elements, uncorrected (eV per formula unit): -18.22
Density (kg/m3): 5717